Here is a relaxed structure of ZnS from OQMD. Energies are from GGA-PBE.

Values from the calculation:
theoretical density = 4.1 g/cm3
uncorrected energy = -0.1289 Ha/atom

CIF file:
```
data_ZnS
_cell_length_a 3.8348
_cell_length_b 3.8348
_cell_length_c 50.1913
_cell_angle_alpha 90.00
_cell_angle_beta 90.00
_cell_angle_gamma 120.00
_symmetry_space_group_name_H-M 'P 3 m 1'
_symmetry_Int_Tables_number 156
loop_
_symmetry_equiv_pos_as_xyz
'x,y,z'
'-y,x-y,z'
'-x+y,-x,z'
'-y,-x,z'
'-x+y,y,z'
'x,x-y,z'
loop_
_atom_site_label
_atom_site_type_symbol
_atom_site_fract_x
_atom_site_fract_y
_atom_site_fract_z
_atom_site_occupancy
Zn1 Zn 0.0000 0.0000 0.0000 1
Zn2 Zn 0.0000 0.0000 0.1875 1
Zn3 Zn 0.0000 0.0000 0.3750 1
Zn4 Zn 0.0000 0.0000 0.5000 1
Zn5 Zn 0.0000 0.0000 0.6250 1
Zn6 Zn 0.0000 0.0000 0.8125 1
Zn7 Zn 0.3333 0.6667 0.0625 1
Zn8 Zn 0.3333 0.6667 0.2500 1
Zn9 Zn 0.3333 0.6667 0.4375 1
Zn10 Zn 0.3333 0.6667 0.6875 1
Zn11 Zn 0.3333 0.6667 0.8750 1
Zn12 Zn 0.6667 0.3333 0.1250 1
Zn13 Zn 0.6667 0.3333 0.3125 1
Zn14 Zn 0.6667 0.3333 0.5625 1
Zn15 Zn 0.6667 0.3333 0.7500 1
Zn16 Zn 0.6667 0.3333 0.9375 1
S1 S 0.0000 0.0000 0.0468 1
S2 S 0.0000 0.0000 0.2343 1
S3 S 0.0000 0.0000 0.4218 1
S4 S 0.0000 0.0000 0.5468 1
S5 S 0.0000 0.0000 0.6718 1
S6 S 0.0000 0.0000 0.8593 1
S7 S 0.3333 0.6667 0.1093 1
S8 S 0.3333 0.6667 0.2968 1
S9 S 0.3333 0.6667 0.4844 1
S10 S 0.3333 0.6667 0.7343 1
S11 S 0.3333 0.6667 0.9218 1
S12 S 0.6667 0.3333 0.1718 1
S13 S 0.6667 0.3333 0.3593 1
S14 S 0.6667 0.3333 0.6094 1
S15 S 0.6667 0.3333 0.7968 1
S16 S 0.6667 0.3333 0.9843 1
```